Model one:
## Nd7Dy2Tm3 (PBE)

Data for a relaxed structure of Nd7Dy2Tm3.

Geometry as POSCAR:
```
Nd7Dy2Tm3
1.0
-3.371 -3.830 2.067
1.994 -4.092 -4.331
8.917 -3.727 7.638
Nd Dy Tm
7 2 3
direct
0.500 0.244 0.456
0.500 0.756 0.544
0.000 0.445 0.184
0.000 0.000 0.000
0.000 0.555 0.816
0.500 0.911 0.828
0.500 0.089 0.172
0.500 0.613 0.276
0.500 0.387 0.724
0.500 0.500 0.000
0.000 0.935 0.344
0.000 0.065 0.656
```

Model two:
## Nd7Dy2Tm3 (PBE)

Data for a relaxed structure of Nd7Dy2Tm3.

Geometry as POSCAR:
```
Nd7Dy2Tm3
1.0
-1.683 1.489 -2.842
-4.982 0.238 3.074
5.845 17.232 5.563
Nd Dy Tm
7 2 3
direct
0.500 0.741 0.465
0.500 0.259 0.535
0.000 0.670 0.145
0.000 0.000 0.000
0.000 0.330 0.855
0.500 0.826 0.816
0.500 0.174 0.184
0.500 0.704 0.298
0.500 0.296 0.702
0.500 0.500 0.000
0.000 0.217 0.368
0.000 0.783 0.632
```

Result of the stability comparison: model two is the most stable of them.